(1)
Material: AuCl
Method: DFT, PBE
State: relaxed Values from VASP.

The structure in Quantum ESPRESSO input format:
```
&SYSTEM
  ibrav = 0, nat = 4, ntyp = 2
/
ATOMIC_SPECIES
Au 196.97 Au.upf
Cl 35.45 Cl.upf
CELL_PARAMETERS angstrom
1.893 1.093 7.723
-1.893 1.093 7.723
0.000 -2.186 7.723
ATOMIC_POSITIONS crystal
Au 0.131 0.131 0.131
Au 0.869 0.869 0.869
Cl 0.402 0.402 0.402
Cl 0.598 0.598 0.598
```

E_tot   -5.27 eV/f.u.
SG   No. 166


(2)
Material: Au2Cl3
Method: DFT, PBE
State: relaxed Values from VASP.

The structure in Quantum ESPRESSO input format:
```
&SYSTEM
  ibrav = 0, nat = 10, ntyp = 2
/
ATOMIC_SPECIES
Au 196.97 Au.upf
Cl 35.45 Cl.upf
CELL_PARAMETERS angstrom
0.000 9.891 2.122
7.538 0.000 2.122
7.538 9.891 0.000
ATOMIC_POSITIONS crystal
Au 0.042 0.958 0.192
Au 0.058 0.442 0.208
Au 0.442 0.058 0.292
Au 0.958 0.042 0.808
Cl 0.118 0.654 0.258
Cl 0.177 0.177 0.323
Cl 0.280 0.992 0.596
Cl 0.654 0.118 0.970
Cl 0.927 0.927 0.073
Cl 0.992 0.280 0.132
```

E above lowest polymorph   0.078 eV per atom
E_tot   -12.53 eV/f.u.
SG   No. 43


(3)
Material: Au3Cl
Method: DFT, PBE
State: relaxed Values from VASP.

The structure in Quantum ESPRESSO input format:
```
&SYSTEM
  ibrav = 0, nat = 4, ntyp = 2
/
ATOMIC_SPECIES
Au 196.97 Au.upf
Cl 35.45 Cl.upf
CELL_PARAMETERS angstrom
2.813 -1.602 0.000
2.813 1.602 0.000
-0.915 0.000 8.571
ATOMIC_POSITIONS crystal
Au 0.000 0.000 0.000
Au 0.282 0.282 0.753
Au 0.718 0.718 0.247
Cl 0.500 0.500 0.500
```

E above lowest polymorph   0.066 eV per atom
E_tot   -11.17 eV/f.u.
SG   No. 12


(4)
Material: AuCl
Method: DFT, PBE
State: relaxed Values from VASP.

The structure in Quantum ESPRESSO input format:
```
&SYSTEM
  ibrav = 0, nat = 8, ntyp = 2
/
ATOMIC_SPECIES
Au 196.97 Au.upf
Cl 35.45 Cl.upf
CELL_PARAMETERS angstrom
-5.442 5.442 1.883
5.442 -5.442 1.883
5.442 5.442 -1.883
ATOMIC_POSITIONS crystal
Au 0.158 0.158 0.317
Au 0.158 0.842 0.000
Au 0.842 0.158 0.000
Au 0.842 0.842 0.683
Cl 0.000 0.301 0.301
Cl 0.000 0.699 0.699
Cl 0.301 0.000 0.301
Cl 0.699 0.000 0.699
```

E_tot   -5.48 eV/f.u.
SG   No. 139